# Al2HgMo

A relaxed structure of Al2HgMo (GGA-PBE, Alexandria).

Calculated values
* SG: R3m, No. 160
* density: 8.30 g/cm3
* ΔE_f: 215 meV/atom
* E_tot: -4.44 eV per atom

Structure (POSCAR):
```
Al2HgMo
1.0
2.970 0.000 0.000
-1.485 2.572 0.000
0.000 0.000 27.533
Al Hg Mo
6 3 3
Direct
0.000 0.000 0.000
0.000 0.000 0.252
0.333 0.667 0.667
0.333 0.667 0.919
0.667 0.333 0.333
0.667 0.333 0.585
0.000 0.000 0.498
0.333 0.667 0.165
0.667 0.333 0.832
0.000 0.000 0.743
0.333 0.667 0.410
0.667 0.333 0.076
```

# AlHg2Mo

A relaxed structure of AlHg2Mo (GGA-PBE, Alexandria).

Calculated values
* SG: I-4m2, No. 119
* density: 11.66 g/cm3
* ΔE_f: 450 meV/atom
* E_tot: -3.34 eV per atom

Structure (POSCAR):
```
AlHg2Mo
1.0
4.036 0.000 0.000
0.000 4.036 0.000
0.000 0.000 9.164
Al Hg Mo
2 4 2
Direct
0.000 0.000 0.000
0.500 0.500 0.500
0.000 0.000 0.500
0.000 0.500 0.750
0.500 0.000 0.250
0.500 0.500 0.000
0.000 0.500 0.250
0.500 0.000 0.750
```

# Al2HgMo

A relaxed structure of Al2HgMo (GGA-PBE, Alexandria).

Calculated values
* SG: R-3m, No. 166
* density: 8.22 g/cm3
* ΔE_f: 127 meV/atom
* E_tot: -4.53 eV per atom

Structure (POSCAR):
```
Al2HgMo
1.0
2.997 0.000 0.000
-1.499 2.596 0.000
0.000 0.000 27.301
Al Hg Mo
6 3 3
Direct
0.000 0.000 0.243
0.000 0.000 0.757
0.333 0.667 0.423
0.333 0.667 0.910
0.667 0.333 0.090
0.667 0.333 0.577
0.000 0.000 0.000
0.333 0.667 0.667
0.667 0.333 0.333
0.000 0.000 0.500
0.333 0.667 0.167
0.667 0.333 0.833
```

# Al2HgMo

A relaxed structure of Al2HgMo (GGA-PBE, Alexandria).

Calculated values
* SG: Pmm2, No. 25
* density: 8.57 g/cm3
* ΔE_f: 101 meV/atom
* E_tot: -4.55 eV per atom

Structure (POSCAR):
```
Al2HgMo
1.0
2.864 0.000 0.000
0.000 4.868 0.000
0.000 0.000 4.870
Al Hg Mo
2 1 1
Direct
0.000 0.000 0.000
0.500 0.500 0.201
0.000 0.500 0.697
0.500 0.000 0.476
```

# AlHgMo

A relaxed structure of AlHgMo (GGA-PBE, Alexandria).

Calculated values
* energy above the lowest structure with this stoichiometry: 0 meV/atom
* SG: P3m1, No. 156
* density: 10.12 g/cm3
* ΔE_f: 280 meV/atom
* E_tot: -4.68 eV per atom

Structure (POSCAR):
```
AlHgMo
1.0
2.963 0.000 0.000
-1.481 2.566 0.000
0.000 0.000 6.982
Al Hg Mo
1 1 1
Direct
0.000 0.000 0.000
0.667 0.333 0.347
0.333 0.667 0.699
```

# Al2HgMo

A relaxed structure of Al2HgMo (GGA-PBE, Alexandria).

Calculated values
* SG: P4/mmm, No. 123
* density: 8.14 g/cm3
* ΔE_f: 120 meV/atom
* E_tot: -4.53 eV per atom

Structure (POSCAR):
```
Al2HgMo
1.0
2.878 0.000 0.000
0.000 2.878 0.000
0.000 0.000 8.627
Al Hg Mo
2 1 1
Direct
0.000 0.000 0.215
0.000 0.000 0.785
0.500 0.500 0.500
0.500 0.500 0.000
```

# AlHg2Mo

A relaxed structure of AlHg2Mo (GGA-PBE, Alexandria).

Calculated values
* SG: Pm, No. 6
* density: 11.49 g/cm3
* ΔE_f: 350 meV/atom
* E_tot: -3.44 eV per atom

Structure (POSCAR):
```
AlHg2Mo
1.0
2.878 0.000 0.000
0.000 4.325 0.000
-1.423 0.000 6.083
Al Hg Mo
1 2 1
Direct
0.000 0.000 0.000
0.152 0.500 0.303
0.783 0.000 0.565
0.429 0.500 0.856
```

# AlHg2Mo

A relaxed structure of AlHg2Mo (GGA-PBE, Alexandria).

Calculated values
* SG: C2/m, No. 12
* density: 11.61 g/cm3
* ΔE_f: 419 meV/atom
* E_tot: -3.38 eV per atom

Structure (POSCAR):
```
AlHg2Mo
1.0
10.194 0.000 0.000
0.000 2.981 0.000
-1.035 0.000 4.934
Al Hg Mo
2 4 2
Direct
0.000 0.000 0.000
0.500 0.500 0.000
0.248 0.000 0.746
0.252 0.500 0.254
0.748 0.500 0.746
0.752 0.000 0.254
0.000 0.500 0.500
0.500 0.000 0.500
```